A plane-wave DFT calculation with PBE with a Hubbard U was carried out for crystalline NiHC2O at its relaxed geometry.

## Properties
Its crystal system is tetragonal. Its raw total energy is -3.90 eV/atom.

Unit cell a=3.658 b=3.658 c=3.017 alpha=90.00 beta=90.00 gamma=90.00
Space group P4/mmm (No. 123)
Unique sites:
Ni1 0.000 0.000 0.000 (multiplicity 1)
H1 0.000 0.000 0.500 (multiplicity 1)
C1 0.000 0.500 0.000 (multiplicity 2)
O1 0.500 0.500 0.500 (multiplicity 1)